# 1
DFT (PBE) results for Pr3Ga3Au2 after structural relaxation.

## Properties
M_tot: 0.0 μB/f.u.
space-group type: No. 63
calculated formation energy: -0.72 eV/atom

```
Pr3Ga3Au2
1.0
-0.4160 -3.7041 -2.6360
-0.5390 -1.2335 5.7718
-15.1315 2.3479 -0.9111
Pr Ga Au
6 6 4
direct
0.8980 0.7960 0.1079 Pr
0.1020 0.2040 0.6079 Pr
0.1020 0.2040 0.8921 Pr
0.3754 0.7509 0.7500 Pr
0.6246 0.2491 0.2500 Pr
0.8980 0.7960 0.3921 Pr
0.6609 0.3217 0.7500 Ga
0.6077 0.2154 0.4628 Ga
0.3923 0.7846 0.9628 Ga
0.3923 0.7846 0.5372 Ga
0.3391 0.6783 0.2500 Ga
0.6077 0.2154 0.0372 Ga
0.1939 0.3878 0.1034 Au
0.8061 0.6122 0.8966 Au
0.1939 0.3878 0.3966 Au
0.8061 0.6122 0.6034 Au
```

# 2
DFT (PBE) results for PrGaAu3 after structural relaxation.

## Properties
M_tot: 0.0 μB/f.u.
space-group type: No. 107
calculated formation energy: -0.56 eV/atom
excess energy over the best structure of this formula in the dataset: 0.037 eV per atom

```
PrGaAu3
1.0
-1.1018 -4.2227 -0.1076
4.2112 -1.0914 -0.3625
1.9782 -2.9131 5.4292
Au Pr Ga
3 1 1
direct
0.1418 0.4447 0.4222 Au
0.6412 0.9453 0.4221 Au
0.8032 0.6068 0.0996 Au
0.4009 0.2044 0.9039 Pr
0.0206 0.8240 0.6632 Ga
```

# 3
DFT (PBE) results for PrGa2Au10 after structural relaxation.

## Properties
M_tot: 0.0 μB/f.u.
space-group type: No. 69
calculated formation energy: -0.25 eV/atom

```
PrGa2Au10
1.0
5.6791 0.0000 0.0000
2.8396 6.7929 0.0000
2.8396 0.0000 6.5408
Au Pr Ga
10 1 2
direct
0.7175 0.7771 0.7878 Au
0.6639 0.3457 0.3264 Au
0.0000 0.0000 0.5000 Au
0.9903 0.3457 0.6736 Au
0.5000 0.0000 0.5000 Au
0.5053 0.7771 0.2122 Au
0.4947 0.2229 0.7878 Au
0.3361 0.6543 0.6736 Au
0.0097 0.6543 0.3264 Au
0.2825 0.2229 0.2122 Au
0.0000 0.0000 0.0000 Pr
0.5000 0.5000 0.0000 Ga
0.0000 0.5000 0.0000 Ga
```